1.
The following is a DFT calculation (PBE) of BaLaPt2 after structural relaxation.

Cell: 4.173 4.216 13.641 Å, 90.00 90.00 90.00°
Fractional coordinates of all 8 atoms:
Ba (0.000, 0.000, 0.000)
Ba (0.500, 0.500, 0.500)
La (0.000, 0.500, 0.756)
La (0.500, 0.000, 0.256)
Pt (0.000, 0.000, 0.603)
Pt (0.000, 0.500, 0.250)
Pt (0.500, 0.000, 0.750)
Pt (0.500, 0.500, 0.103)

Values from the calculation:
Crystal system ... orthorhombic
Uncorrected energy ... -5.53 eV per atom
DOS at the Fermi energy ... 0.64 states/eV per atom

2.
The following is a DFT calculation (PBE) of BaLaPt2 after structural relaxation.

Cell: 4.277 4.277 23.018 Å, 90.00 90.00 120.00°
Fractional coordinates of all 12 atoms:
Ba (0.000, 0.000, 0.000)
Ba (0.333, 0.667, 0.667)
Ba (0.667, 0.333, 0.333)
La (0.000, 0.000, 0.171)
La (0.333, 0.667, 0.838)
La (0.667, 0.333, 0.505)
Pt (0.000, 0.000, 0.577)
Pt (0.000, 0.000, 0.764)
Pt (0.333, 0.667, 0.244)
Pt (0.333, 0.667, 0.431)
Pt (0.667, 0.333, 0.098)
Pt (0.667, 0.333, 0.910)

Values from the calculation:
Crystal system ... trigonal
Uncorrected energy ... -5.59 eV per atom
DOS at the Fermi energy ... 0.60 states/eV per atom

3.
The following is a DFT calculation (PBE) of Ba5LaPt4 after structural relaxation.

Cell: 10.091 10.091 8.894 Å, 103.57 103.57 26.03°
Fractional coordinates of all 10 atoms:
Ba (0.000, 0.000, 0.000)
Ba (0.332, 0.332, 0.653)
Ba (0.340, 0.340, 0.178)
Ba (0.660, 0.660, 0.822)
Ba (0.668, 0.668, 0.347)
La (0.000, 0.000, 0.500)
Pt (0.160, 0.160, 0.586)
Pt (0.498, 0.498, 0.729)
Pt (0.502, 0.502, 0.271)
Pt (0.840, 0.840, 0.414)

Values from the calculation:
Crystal system ... monoclinic
Uncorrected energy ... -4.61 eV per atom
DOS at the Fermi energy ... 0.51 states/eV per atom

4.
The following is a DFT calculation (PBE) of BaLaPt2 after structural relaxation.

Cell: 7.583 4.370 7.721 Å, 90.00 108.98 90.00°
Fractional coordinates of all 8 atoms:
Ba (0.000, 0.000, 0.000)
Ba (0.500, 0.500, 0.000)
La (0.000, 0.500, 0.500)
La (0.500, 0.000, 0.500)
Pt (0.239, 0.000, 0.717)
Pt (0.261, 0.500, 0.283)
Pt (0.739, 0.500, 0.717)
Pt (0.761, 0.000, 0.283)

Values from the calculation:
Crystal system ... monoclinic
Uncorrected energy ... -5.65 eV per atom
DOS at the Fermi energy ... 0.59 states/eV per atom

> Look up the uncorrected energy of the first one.

-5.53 eV per atom

Repeat the fourth record exactly.
The following is a DFT calculation (PBE) of BaLaPt2 after structural relaxation.

Cell: 7.583 4.370 7.721 Å, 90.00 108.98 90.00°
Fractional coordinates of all 8 atoms:
Ba (0.000, 0.000, 0.000)
Ba (0.500, 0.500, 0.000)
La (0.000, 0.500, 0.500)
La (0.500, 0.000, 0.500)
Pt (0.239, 0.000, 0.717)
Pt (0.261, 0.500, 0.283)
Pt (0.739, 0.500, 0.717)
Pt (0.761, 0.000, 0.283)

Values from the calculation:
Crystal system ... monoclinic
Uncorrected energy ... -5.65 eV per atom
DOS at the Fermi energy ... 0.59 states/eV per atom

> Which of these has the lowest DOS at the Fermi energy?

Ba5LaPt4

> Which value of DOS at the Fermi energy does entry 3 give?

0.51 states/eV per atom